Record 1
# Re5Te3

Re5Te3 after structural relaxation (PBE, Alexandria via LeMat-Bulk).

formation energy from raw total energies = 0.664 eV/atom
M_tot = 0.000 Bohr magnetons per cell
space group = No. 8

a b c (Å): 8.1009 8.0634 8.2407
angles (deg): 96.19 96.43 140.88
Atoms (fractional coordinates):
Re 0.2970 0.8061 0.5000
Re 0.8032 0.2966 0.5000
Re 0.7644 0.0941 0.7575
Re 0.3327 0.9953 0.2438
Re 0.8250 0.5861 0.3359
Re 0.2590 0.5018 0.6614
Re 0.5889 0.2515 0.7562
Re 0.5069 0.8366 0.2425
Re 0.0976 0.3404 0.3386
Re 0.9892 0.7502 0.6641
Te 0.5890 0.5946 0.0638
Te 0.0252 0.0308 0.9362
Te 0.2793 0.1730 0.5000
Te 0.6740 0.7817 0.5000
Te 0.1771 0.6767 0.8922
Te 0.7849 0.2845 0.1078

***

Record 2
# Ac6CoP2I3

Ac6CoP2I3 after structural relaxation (PBE, Alexandria via LeMat-Bulk).

formation energy from raw total energies = -1.029 eV/atom
M_tot = 0.716 Bohr magnetons per cell
space group = No. 12

a b c (Å): 7.7408 7.7408 8.5798
angles (deg): 98.79 98.79 119.83
Atoms (fractional coordinates):
Ac 0.9358 0.6209 0.8100
Ac 0.7428 0.7428 0.1949
Ac 0.0642 0.3791 0.1900
Ac 0.6209 0.9358 0.8100
Ac 0.2572 0.2572 0.8051
Ac 0.3791 0.0642 0.1900
Co 0.0000 0.0000 0.0000
P 0.3325 0.6675 0.0000
P 0.6675 0.3325 0.0000
I 0.1738 0.8262 0.5000
I 0.8262 0.1738 0.5000
I 0.5000 0.5000 0.5000

***

Record 3
# ZrCoPd2

ZrCoPd2 after structural relaxation (PBE, Alexandria via LeMat-Bulk).

formation energy = -514 meV per atom
M_tot = 0.703 Bohr magnetons per cell
space group = No. 123

a b c (Å): 4.0100 3.9187 3.9187
angles (deg): 90.00 90.00 90.00
Atoms (fractional coordinates):
Co 0.5000 0.0000 0.0000
Zr 0.5000 0.5000 0.5000
Pd 0.0000 0.0000 0.5000
Pd 0.0000 0.5000 0.0000